Record 1
PaGe4Pd6 PBE relaxed; density of states at the Fermi level = 1.0215 states/eV/atom; ΔH_f (0 K) = -5.982 eV per formula unit; symmetry = P-6m2, No. 187
1.0
3.927 0.000 0.000
0.000 7.375 0.000
0.000 -3.687 6.387
Ge Pd Pa
4 6 1
direct
0.500 0.381 0.191
0.500 0.809 0.191
0.500 0.809 0.619
0.000 0.333 0.667
0.500 0.197 0.803
0.000 0.535 0.465
0.500 0.197 0.395
0.000 0.535 0.070
0.000 0.930 0.465
0.500 0.605 0.803
0.000 0.000 0.000

=====

Record 2
NaCd2Fe2 PBE relaxed; density of states at the Fermi level = 0.7286 states/eV/atom; ΔH_f (0 K) = 1.541 eV per formula unit; symmetry = P4/mbm, No. 127
1.0
-7.019 3.124 -2.506
-3.945 -6.264 3.240
-0.241 1.407 2.428
Fe Na Cd
4 2 4
direct
0.102 0.398 0.000
0.398 0.898 0.000
0.898 0.602 0.000
0.602 0.102 0.000
0.000 0.000 0.000
0.500 0.500 0.000
0.811 0.311 0.500
0.189 0.689 0.500
0.689 0.811 0.500
0.311 0.189 0.500

=====

Record 3
Ac5Pr7 PBE relaxed; density of states at the Fermi level = 1.5055 states/eV/atom; ΔH_f (0 K) = 0.211 eV per formula unit; symmetry = C2/m, No. 12
1.0
3.814 0.000 0.602
1.532 9.689 2.677
-0.090 0.196 12.962
Pr Ac
7 5
direct
0.973 0.303 0.751
0.500 0.500 0.500
0.362 0.029 0.248
0.638 0.971 0.752
0.027 0.697 0.249
0.665 0.666 0.004
0.335 0.334 0.996
0.306 0.636 0.753
0.000 0.000 0.000
0.164 0.167 0.505
0.694 0.364 0.247
0.836 0.833 0.495